The following is a DFT calculation (GGA-PBE) of a geometry-optimized Gd2Tm4H structure.

Structure (CIF):
```
data_Gd2Tm4H
_chemical_formula_sum 'Gd4 Tm8 H2'
_cell_length_a 4.783
_cell_length_b 4.783
_cell_length_c 16.920
_cell_angle_alpha 90.00
_cell_angle_beta 90.00
_cell_angle_gamma 90.00
_symmetry_space_group_name_H-M 'I 4/m m m'
_symmetry_Int_Tables_number 139
_symmetry_space_group_name_Hall '-I 4 2'
loop_
_atom_site_label
_atom_site_type_symbol
_atom_site_fract_x
_atom_site_fract_y
_atom_site_fract_z
Gd1 Gd 0.000 0.000 0.150
Tm1 Tm 0.000 0.000 0.353
Tm2 Tm 0.000 0.500 0.000
H1 H 0.000 0.000 0.500
```

Summary:
E: -6.990 eV per atom
Size of the total moment: 2.11 μB/atom